# 1
LiAcAgSn2: optimized geometry, PBE-GGA.

Summary:
DFT total energy: -19.5 eV per formula unit
E_form: -526.0 meV/atom

abc: 4.6439 4.6439 6.8062
angles: 109.95 109.95 90.00
Closest atoms and distances in Å follow each position.
Positions (direct):
Li1 0.2500 0.7500 0.5000  4 Sn 2.79
Ac1 0.0000 0.0000 0.0000  8 Sn 3.58, 4 Li 3.78, 4 Ag 3.78
Ag1 0.7500 0.2500 0.5000  4 Sn 2.79
Sn1 0.6203 0.6203 0.2405  2 Li 2.79, 2 Ag 2.79, 1 Sn 2.87
Sn2 0.3797 0.3797 0.7595  2 Li 2.79, 2 Ag 2.79, 1 Sn 2.87

# 2
NaCdSn: optimized geometry, PBE-GGA.

Summary:
DFT total energy: -6.4 eV per formula unit
E_form: -60.9 meV/atom

abc: 4.0689 4.0689 5.4977
angles: 111.72 111.72 90.00
Closest atoms and distances in Å follow each position.
Positions (direct):
Na1 0.2833 0.2833 0.5667  5 Sn 3.08-3.30, 5 Cd 3.08-3.30
Sn1 0.6116 0.6116 0.2231  5 Na 3.08-3.30, 5 Cd 3.22-3.23
Cd1 0.9551 0.9551 0.9102  5 Na 3.08-3.30, 5 Sn 3.22-3.23

# 3
Pm2PrHoAs4: optimized geometry, PBE-GGA.

Summary:
DFT total energy: -49.5 eV per formula unit
E_form: -1510.6 meV/atom

abc: 4.2263 7.3128 7.3121
angles: 70.53 90.00 90.00
Closest atoms and distances in Å follow each position.
Positions (direct):
Pm1 0.0000 0.0000 0.0000  6 As 3.02
Pm2 0.5000 0.0000 0.5000  6 As 2.97
Pr1 0.5000 0.5000 0.0000  6 As 3.00
Ho1 0.0000 0.5000 0.5000  6 As 2.95
As1 0.0000 0.7499 0.7444  1 Ho 2.95, 3 Pm 2.97-3.02, 2 Pr 3.00
As2 0.0000 0.2501 0.2556  1 Ho 2.95, 3 Pm 2.97-3.02, 2 Pr 3.00
As3 0.5000 0.7457 0.2570  2 Ho 2.95, 3 Pm 2.97-3.02, 1 Pr 3.00
As4 0.5000 0.2543 0.7430  2 Ho 2.95, 3 Pm 2.97-3.02, 1 Pr 3.00

Q: Among the records above, which one has the highest E_form?
A: NaCdSn